(1)
A relaxed structure of Th7Pd3. Source: Alexandria via LeMat-Bulk, functional PBE-GGA.

Lattice parameters (Å, degrees): 10.0966 10.0966 6.4081 90.00 90.00 120.00
With the nearest neighbours (Å) after each atom.
Sites, in units of the cell vectors:
Th 0.0833 0.5417 0.0000  2 Pd 2.98
Th 0.1278 0.2557 0.2838  3 Pd 2.96-2.98
Th 0.1278 0.8722 0.2838  3 Pd 2.96-2.98
Th 0.2557 0.1278 0.7838  3 Pd 2.96-2.98
Th 0.3333 0.6667 0.4280  3 Pd 3.12
Th 0.4583 0.5417 0.0000  2 Pd 2.98
Th 0.4583 0.9167 0.0000  2 Pd 2.98
Th 0.5417 0.0833 0.5000  2 Pd 2.98
Th 0.5417 0.4583 0.5000  2 Pd 2.98
Th 0.6667 0.3333 0.9280  3 Pd 3.12
Th 0.7443 0.8722 0.2838  3 Pd 2.96-2.98
Th 0.8722 0.1278 0.7838  3 Pd 2.96-2.98
Th 0.8722 0.7443 0.7838  3 Pd 2.96-2.98
Th 0.9167 0.4583 0.5000  2 Pd 2.98
Pd 0.1896 0.3793 0.7170  6 Th 2.96-3.12
Pd 0.1896 0.8104 0.7170  6 Th 2.96-3.12
Pd 0.3793 0.1896 0.2170  6 Th 2.96-3.12
Pd 0.6207 0.8104 0.7170  6 Th 2.96-3.12
Pd 0.8104 0.1896 0.2170  6 Th 2.96-3.12
Pd 0.8104 0.6207 0.2170  6 Th 2.96-3.12

Output
- size of the total moment (μB/cell) = 0.00
- DFT total energy (eV/atom) = -7.203
- ΔH_f (0 K) (eV per atom) = -0.45


(2)
A relaxed structure of Th3Pd5. Source: Alexandria via LeMat-Bulk, functional PBE-GGA.

Lattice parameters (Å, degrees): 7.6910 7.6910 3.4569 90.00 90.00 120.00
With the nearest neighbours (Å) after each atom.
Sites, in units of the cell vectors:
Th 0.0000 0.7296 0.0000  6 Pd 2.84-3.05
Th 0.2704 0.2704 0.0000  6 Pd 2.84-3.05
Th 0.7296 0.0000 0.0000  6 Pd 2.84-3.05
Pd 0.0000 0.3627 0.5000  4 Pd 3.01, 6 Th 3.05-3.31
Pd 0.3333 0.6667 0.0000  3 Th 2.84, 6 Pd 3.01
Pd 0.3627 0.0000 0.5000  4 Pd 3.01, 6 Th 3.05-3.31
Pd 0.6373 0.6373 0.5000  4 Pd 3.01, 6 Th 3.05-3.31
Pd 0.6667 0.3333 0.0000  3 Th 2.84, 6 Pd 3.01

Output
- size of the total moment (μB/cell) = 0.00
- DFT total energy (eV/atom) = -6.591
- ΔH_f (0 K) (eV per atom) = -0.56


(3)
A relaxed structure of ThTiPd2. Source: Alexandria via LeMat-Bulk, functional PBE-GGA.

Lattice parameters (Å, degrees): 3.2866 3.2866 7.2679 90.00 90.00 90.00
With the nearest neighbours (Å) after each atom.
Sites, in units of the cell vectors:
Th 0.0000 0.0000 0.0000  8 Pd 3.21, 4 Th 3.29
Ti 0.0000 0.0000 0.5000  8 Pd 2.73
Pd 0.5000 0.5000 0.3038  4 Ti 2.73, 1 Pd 2.85
Pd 0.5000 0.5000 0.6962  4 Ti 2.73, 1 Pd 2.85

Output
- size of the total moment (μB/cell) = 0.00
- DFT total energy (eV/atom) = -6.961
- ΔH_f (0 K) (eV per atom) = -0.54


(4)
A relaxed structure of ThTiPd. Source: Alexandria via LeMat-Bulk, functional PBE-GGA.

Lattice parameters (Å, degrees): 12.8831 3.4858 6.0150 90.00 90.00 90.00
With the nearest neighbours (Å) after each atom.
Sites, in units of the cell vectors:
Th 0.1779 0.0000 0.0000  3 Pd 3.05, 3 Ti 3.20
Th 0.1779 0.5000 0.5000  3 Pd 3.05, 3 Ti 3.20
Th 0.8221 0.0000 0.0000  3 Pd 3.05, 3 Ti 3.20
Th 0.8221 0.5000 0.5000  3 Pd 3.05, 3 Ti 3.20
Ti 0.3710 0.0000 0.6647  3 Pd 2.61
Ti 0.3710 0.5000 0.1647  3 Pd 2.61
Ti 0.6290 0.0000 0.6647  3 Pd 2.61
Ti 0.6290 0.5000 0.1647  3 Pd 2.61
Pd 0.0000 0.0000 0.6654  6 Th 3.05
Pd 0.0000 0.5000 0.1654  6 Th 3.05
Pd 0.5000 0.0000 0.9986  6 Ti 2.61
Pd 0.5000 0.5000 0.4986  6 Ti 2.61

Output
- size of the total moment (μB/cell) = 0.00
- DFT total energy (eV/atom) = -6.935
- ΔH_f (0 K) (eV per atom) = -0.10